1.
The following is a DFT calculation (SCAN) of ScCrCo3 at its PBEsol-relaxed geometry.

Properties
Formation enthalpy at 0 K   0.7279 eV per atom

Cell: 4.133 4.133 4.133 Å, 90.00 90.00 90.00°
Space group Pm-3m (No. 221)
Symmetry-distinct sites (fractional):
Sc 0.000 0.000 0.000 (multiplicity 1)
Cr 0.500 0.500 0.500 (multiplicity 1)
Co 0.000 0.500 0.500 (multiplicity 3)

***

2.
The following is a DFT calculation (SCAN) of ScCrCo at its PBEsol-relaxed geometry.

Properties
Formation enthalpy at 0 K   0.5429 eV per atom
Distance to the lowest polymorph of the same formula   1.05 eV/f.u.

Cell: 2.8155 2.8155 6.0504 Å, 90.00 90.00 120.00°
Space group P3m1 (No. 156)
Symmetry-distinct sites (fractional):
Sc 0.0000 0.0000 0.0000 (multiplicity 1)
Cr 0.6667 0.3333 0.3674 (multiplicity 1)
Co 0.3333 0.6667 0.6395 (multiplicity 1)

***

3.
The following is a DFT calculation (SCAN) of ScCr2Co at its PBEsol-relaxed geometry.

Properties
Formation enthalpy at 0 K   0.4240 eV per atom
Distance to the lowest polymorph of the same formula   1.33 eV/f.u.

Cell: 2.592 4.320 4.630 Å, 90.00 102.37 90.00°
Space group P2/m (No. 10)
Symmetry-distinct sites (fractional):
Sc 0.000 0.000 0.000 (multiplicity 1)
Cr 0.265 0.500 0.747 (multiplicity 2)
Co 0.500 0.000 0.500 (multiplicity 1)

***

4.
The following is a DFT calculation (SCAN) of ScCrCo at its PBEsol-relaxed geometry.

Properties
Formation enthalpy at 0 K   0.7601 eV per atom
Distance to the lowest polymorph of the same formula   1.71 eV/f.u.

Cell: 5.642 5.642 5.642 Å, 90.00 90.00 90.00°
Space group F-43m (No. 216)
Symmetry-distinct sites (fractional):
Sc 0.000 0.000 0.000 (multiplicity 4)
Cr 0.250 0.250 0.250 (multiplicity 4)
Co 0.000 0.000 0.500 (multiplicity 4)

***

5.
The following is a DFT calculation (SCAN) of ScCrCo at its PBEsol-relaxed geometry.

Properties
Formation enthalpy at 0 K   0.1913 eV per atom
Distance to the lowest polymorph of the same formula   0.00 eV/f.u.

Cell: 4.0385 4.0385 3.1094 Å, 90.00 90.00 120.00°
Space group P-6m2 (No. 187)
Symmetry-distinct sites (fractional):
Sc 0.0000 0.0000 0.0000 (multiplicity 1)
Cr 0.6667 0.3333 0.5000 (multiplicity 1)
Co 0.3333 0.6667 0.5000 (multiplicity 1)

***

6.
The following is a DFT calculation (SCAN) of ScCrCo2 at its PBEsol-relaxed geometry.

Properties
Formation enthalpy at 0 K   0.1485 eV per atom
Distance to the lowest polymorph of the same formula   0.00 eV/f.u.

Cell: 5.820 5.820 5.820 Å, 90.00 90.00 90.00°
Space group F-43m (No. 216)
Symmetry-distinct sites (fractional):
Sc 0.000 0.000 0.000 (multiplicity 4)
Cr 0.250 0.250 0.750 (multiplicity 4)
Co 0.000 0.000 0.500 (multiplicity 4)
Co 0.250 0.250 0.250 (multiplicity 4)

***

7.
The following is a DFT calculation (SCAN) of CrCoSi at its PBEsol-relaxed geometry.

Properties
E_form (uncorrected)   -0.169 eV per atom

Cell: 2.614 2.614 9.449 Å, 90.00 90.00 90.00°
Space group I4mm (No. 107)
Symmetry-distinct sites (fractional):
Cr 0.000 0.000 0.000 (multiplicity 2)
Co 0.000 0.000 0.326 (multiplicity 2)
Si 0.000 0.000 0.675 (multiplicity 2)

***

8.
The following is a DFT calculation (SCAN) of CrCo2Si at its PBEsol-relaxed geometry.

Properties
E_form (uncorrected)   -0.318 eV per atom

Cell: 3.867 3.867 2.888 Å, 90.00 90.00 90.00°
Space group P4/mmm (No. 123)
Symmetry-distinct sites (fractional):
Cr 0.000 0.000 0.000 (multiplicity 1)
Co 0.000 0.500 0.500 (multiplicity 2)
Si 0.500 0.500 0.000 (multiplicity 1)

***

9.
The following is a DFT calculation (SCAN) of CrCoSi at its PBEsol-relaxed geometry.

Properties
E_form (uncorrected)   0.001 eV per atom

Cell: 5.393 5.393 5.393 Å, 90.00 90.00 90.00°
Space group F-43m (No. 216)
Symmetry-distinct sites (fractional):
Cr 0.000 0.000 0.000 (multiplicity 4)
Co 0.000 0.000 0.500 (multiplicity 4)
Si 0.250 0.250 0.750 (multiplicity 4)

***

10.
The following is a DFT calculation (SCAN) of CrCo2Si at its PBEsol-relaxed geometry.

Properties
E_form (uncorrected)   -0.270 eV per atom

Cell: 3.580 3.580 6.611 Å, 90.00 90.00 90.00°
Space group I4/mmm (No. 139)
Symmetry-distinct sites (fractional):
Cr 0.000 0.000 0.000 (multiplicity 2)
Co 0.000 0.500 0.250 (multiplicity 4)
Si 0.000 0.000 0.500 (multiplicity 2)

***

11.
The following is a DFT calculation (SCAN) of CrCoSi at its PBEsol-relaxed geometry.

Properties
E_form (uncorrected)   -0.335 eV per atom

Cell: 5.663 3.573 6.642 Å, 90.00 90.00 90.00°
Space group Pnma (No. 62)
Symmetry-distinct sites (fractional):
Cr 0.027 0.250 0.182 (multiplicity 4)
Co 0.145 0.250 0.558 (multiplicity 4)
Si 0.242 0.750 0.377 (multiplicity 4)

***

12.
The following is a DFT calculation (SCAN) of CrCoSi3 at its PBEsol-relaxed geometry.

Properties
E_form (uncorrected)   0.903 eV per atom

Cell: 4.314 4.314 4.314 Å, 90.00 90.00 90.00°
Space group Pm-3m (No. 221)
Symmetry-distinct sites (fractional):
Cr 0.000 0.000 0.000 (multiplicity 1)
Co 0.500 0.500 0.500 (multiplicity 1)
Si 0.000 0.000 0.500 (multiplicity 3)

***

no.,total magnetization (μB/cell)
1,0.003
2,0.164
3,0.001
4,7.402
5,3.858
6,0.241
7,2.363
8,4.031
9,16.458
10,4.192
11,4.234
12,2.687